No. 1
LaCeTh: optimized geometry, PBE-GGA.

abc: 3.536 3.536 15.201
angles: 90.00 90.00 90.00
Sites, in units of the cell vectors:
1 La 0.250 0.250 0.101
2 La 0.750 0.750 0.899
3 Ce 0.250 0.250 0.423
4 Ce 0.750 0.750 0.577
5 Th 0.250 0.250 0.732
6 Th 0.750 0.750 0.268

D(E_F)   1.945 states/eV/atom
Total DFT energy (no corrections)   -6.072 eV/atom
Space group   P4/nmm, No. 129
Energy above the lowest structure with this stoichiometry   0 meV per atom

No. 2
LiGaBr4: optimized geometry, PBE-GGA.

abc: 6.288 6.288 10.566
angles: 90.00 90.00 90.00
Sites, in units of the cell vectors:
1 Li 0.000 0.000 0.000
2 Li 0.500 0.500 0.500
3 Ga 0.000 0.500 0.250
4 Ga 0.500 0.000 0.750
5 Br 0.219 0.278 0.124
6 Br 0.222 0.719 0.376
7 Br 0.278 0.781 0.876
8 Br 0.281 0.222 0.624
9 Br 0.719 0.778 0.624
10 Br 0.722 0.219 0.876
11 Br 0.778 0.281 0.376
12 Br 0.781 0.722 0.124

D(E_F)   0.000 states/eV/atom
Total DFT energy (no corrections)   -3.022 eV/atom
Raw formation energy   -1.083 eV/atom
Space group   I-4, No. 82
Energy above the lowest structure with this stoichiometry   0 meV per atom

No. 3
In2TePb: optimized geometry, PBE-GGA.

abc: 3.266 5.982 6.204
angles: 90.00 94.23 90.00
Sites, in units of the cell vectors:
1 In 0.000 0.000 0.000
2 In 0.017 0.500 0.608
3 Te 0.238 0.500 0.114
4 Pb 0.528 0.000 0.513

D(E_F)   0.346 states/eV/atom
Total DFT energy (no corrections)   -3.125 eV/atom
Raw formation energy   -0.043 eV/atom
Space group   Pm, No. 6
Energy above the lowest structure with this stoichiometry   42 meV per atom